Here is a geometry-optimized La6Cu2N structure from Alexandria. Energies are from PBE.

## Properties
E: -5.492 eV/atom

```
18
Lattice="6.679 0.000 0.000 0.000 7.368 0.000 -6.655 0.000 10.300" Properties=species:S:1:pos:R:3 pbc="T T T"
La -0.871 0.238 2.436
La -4.198 3.446 7.586
La 1.123 5.178 0.607
La -2.205 5.874 5.757
La 2.111 1.298 0.589
La -1.216 2.386 5.739
La 1.240 4.982 4.561
La -2.087 6.070 9.711
La 2.229 1.494 4.543
La -1.098 2.190 9.692
La 4.223 3.922 2.714
La 0.895 7.130 7.864
Cu -2.894 0.731 7.686
Cu 0.433 2.953 2.536
Cu -0.409 4.415 7.764
Cu 2.919 6.637 2.614
N 0.000 0.000 0.000
N -3.327 3.684 5.150
```

---

Here is a geometry-optimized BaIOF2 structure from Alexandria. Energies are from PBE.

## Properties
E: -3.989 eV/atom

```
5
Lattice="5.039 0.000 0.000 0.000 5.039 0.000 0.000 0.000 4.347" Properties=species:S:1:pos:R:3 pbc="T T T"
Ba 0.000 0.000 0.000
I 2.519 2.519 2.173
O 2.519 2.519 0.000
F 0.000 2.519 2.173
F 2.519 0.000 2.173
```

---

Here is a geometry-optimized DySc2Co structure from Alexandria. Energies are from PBE.

## Properties
E: -5.950 eV/atom
calculated formation energy: 0.142 eV per atom

```
4
Lattice="1.669 0.964 9.880 -1.669 0.964 9.880 0.000 -1.927 9.880" Properties=species:S:1:pos:R:3 pbc="T T T"
Dy 0.000 0.000 0.000
Sc 0.000 0.000 3.331
Sc 0.000 0.000 26.309
Co 0.000 0.000 14.820
```

---

> Number 1 is which compound?

La6Cu2N

---

> Look up the E of the second one.

-3.989 eV/atom